No. 1
# Ca2VBiO6, relaxed, DFT GGA-PBEsol
data_Ca2VBiO6
_chemical_formula_sum 'Ca4 V2 Bi2 O12'
_symmetry_space_group_name_H-M 'P 1'
_symmetry_Int_Tables_number 1
_cell_length_a 5.530
_cell_length_b 7.369
_cell_length_c 7.369
_cell_angle_alpha 106.04
_cell_angle_beta 90.00
_cell_angle_gamma 90.00
loop_
_symmetry_equiv_pos_as_xyz
'x,y,z'
loop_
_atom_site_label
_atom_site_fract_x
_atom_site_fract_y
_atom_site_fract_z
O1 0.005 0.813 0.187
O2 0.999 0.352 0.340
O3 0.070 0.094 0.596
O4 0.570 0.906 0.404
O5 0.499 0.340 0.352
O6 0.505 0.187 0.813
O7 0.070 0.404 0.906
O8 0.499 0.648 0.660
O9 0.999 0.660 0.648
O10 0.069 0.051 0.949
O11 0.569 0.949 0.051
O12 0.570 0.596 0.094
Ca1 0.741 0.302 0.090
Ca2 0.241 0.698 0.910
Ca3 0.241 0.090 0.302
Ca4 0.741 0.910 0.698
Bi1 0.261 0.593 0.407
Bi2 0.761 0.407 0.593
V1 0.194 0.185 0.815
V2 0.694 0.815 0.185
# SG = Cmc2_1, No. 36
# E_form (uncorrected) = -2520 meV per atom

***

No. 2
# Sr2CaF, relaxed, DFT GGA-PBEsol
data_Sr2CaF
_chemical_formula_sum 'Sr2 Ca1 F1'
_symmetry_space_group_name_H-M 'P 1'
_symmetry_Int_Tables_number 1
_cell_length_a 6.107
_cell_length_b 6.107
_cell_length_c 6.107
_cell_angle_alpha 60.00
_cell_angle_beta 60.00
_cell_angle_gamma 60.00
loop_
_symmetry_equiv_pos_as_xyz
'x,y,z'
loop_
_atom_site_label
_atom_site_fract_x
_atom_site_fract_y
_atom_site_fract_z
Sr1 0.750 0.750 0.750
Sr2 0.250 0.250 0.250
Ca1 0.500 0.500 0.500
F1 0.000 0.000 0.000
# SG = Fm-3m, No. 225
# E_form (uncorrected) = -445 meV per atom

***

No. 3
# NiSbSe4, relaxed, DFT GGA-PBEsol
data_NiSbSe4
_chemical_formula_sum 'Ni1 Sb1 Se4'
_symmetry_space_group_name_H-M 'P 1'
_symmetry_Int_Tables_number 1
_cell_length_a 5.584
_cell_length_b 5.584
_cell_length_c 5.584
_cell_angle_alpha 60.00
_cell_angle_beta 60.00
_cell_angle_gamma 60.00
loop_
_symmetry_equiv_pos_as_xyz
'x,y,z'
loop_
_atom_site_label
_atom_site_fract_x
_atom_site_fract_y
_atom_site_fract_z
Se1 0.376 0.376 0.376
Se2 0.376 0.376 0.871
Se3 0.376 0.871 0.376
Se4 0.871 0.376 0.376
Ni1 0.750 0.750 0.750
Sb1 0.000 0.000 0.000
# SG = F-43m, No. 216
# E_form (uncorrected) = 800 meV per atom

***

No. 4
# BaY2OsCl, relaxed, DFT GGA-PBEsol
data_BaY2OsCl
_chemical_formula_sum 'Ba1 Y2 Os1 Cl1'
_symmetry_space_group_name_H-M 'P 1'
_symmetry_Int_Tables_number 1
_cell_length_a 5.163
_cell_length_b 5.163
_cell_length_c 6.416
_cell_angle_alpha 90.00
_cell_angle_beta 90.00
_cell_angle_gamma 90.00
loop_
_symmetry_equiv_pos_as_xyz
'x,y,z'
loop_
_atom_site_label
_atom_site_fract_x
_atom_site_fract_y
_atom_site_fract_z
Ba1 0.500 0.500 0.500
Y1 0.000 0.500 0.000
Y2 0.500 0.000 0.000
Cl1 0.000 0.000 0.500
Os1 0.000 0.000 0.000
# SG = P4/mmm, No. 123
# E_form (uncorrected) = 115 meV per atom